VASP calculation (PBE-GGA) on an optimized crystal structure of DyHoSb.

Values from the calculation:
symmetry: No. 107
magnetic moment: 0.32 μB/atom
D(E_F): 2.42 states/eV per cell
uncorrected formation energy: -625 meV per atom

CIF file:
```
data_DyHoSb
_space_group_name_H-M_alt 'P 1'
_space_group_IT_number 1
_cell_length_a 3.965
_cell_length_b 3.965
_cell_length_c 5.977
_cell_angle_alpha 109.37
_cell_angle_beta 109.37
_cell_angle_gamma 90.00
loop_
_space_group_symop_operation_xyz
'x,y,z'
loop_
_atom_site_label
_atom_site_type_symbol
_atom_site_fract_x
_atom_site_fract_y
_atom_site_fract_z
Sb1 Sb 0.283 0.283 0.565
Ho1 Ho 0.629 0.629 0.258
Dy1 Dy 0.938 0.938 0.877
```

=====

VASP calculation (PBE-GGA) on an optimized crystal structure of DyHoSb.

Values from the calculation:
symmetry: No. 129
magnetic moment: 0.00 μB/atom
D(E_F): 4.36 states/eV per cell
uncorrected formation energy: -795 meV per atom

CIF file:
```
data_DyHoSb
_space_group_name_H-M_alt 'P 1'
_space_group_IT_number 1
_cell_length_a 4.461
_cell_length_b 4.461
_cell_length_c 8.451
_cell_angle_alpha 90.01
_cell_angle_beta 89.99
_cell_angle_gamma 90.00
loop_
_space_group_symop_operation_xyz
'x,y,z'
loop_
_atom_site_label
_atom_site_type_symbol
_atom_site_fract_x
_atom_site_fract_y
_atom_site_fract_z
Dy1 Dy 0.750 0.250 0.650
Dy2 Dy 0.250 0.750 0.350
Ho1 Ho 0.750 0.750 0.000
Ho2 Ho 0.250 0.250 0.000
Sb1 Sb 0.250 0.750 0.720
Sb2 Sb 0.750 0.250 0.280
```

=====

VASP calculation (PBE-GGA) on an optimized crystal structure of DyHo2Sb.

Values from the calculation:
symmetry: No. 63
magnetic moment: 0.00 μB/atom
D(E_F): 12.16 states/eV per cell
uncorrected formation energy: -547 meV per atom

CIF file:
```
data_DyHo2Sb
_space_group_name_H-M_alt 'P 1'
_space_group_IT_number 1
_cell_length_a 4.106
_cell_length_b 6.425
_cell_length_c 9.488
_cell_angle_alpha 90.00
_cell_angle_beta 90.00
_cell_angle_gamma 108.64
loop_
_space_group_symop_operation_xyz
'x,y,z'
loop_
_atom_site_label
_atom_site_type_symbol
_atom_site_fract_x
_atom_site_fract_y
_atom_site_fract_z
Dy1 Dy 0.941 0.882 0.250
Dy2 Dy 0.059 0.118 0.750
Ho1 Ho 0.364 0.728 0.547
Ho2 Ho 0.636 0.272 0.453
Ho3 Ho 0.364 0.728 0.953
Ho4 Ho 0.636 0.272 0.047
Sb1 Sb 0.759 0.518 0.750
Sb2 Sb 0.241 0.482 0.250
```

=====

VASP calculation (PBE-GGA) on an optimized crystal structure of Dy2HoSb.

Values from the calculation:
symmetry: No. 166
magnetic moment: 0.22 μB/atom
D(E_F): 5.25 states/eV per cell
uncorrected formation energy: -281 meV per atom

CIF file:
```
data_Dy2HoSb
_space_group_name_H-M_alt 'P 1'
_space_group_IT_number 1
_cell_length_a 3.952
_cell_length_b 3.952
_cell_length_c 9.922
_cell_angle_alpha 78.51
_cell_angle_beta 78.51
_cell_angle_gamma 60.00
loop_
_space_group_symop_operation_xyz
'x,y,z'
loop_
_atom_site_label
_atom_site_type_symbol
_atom_site_fract_x
_atom_site_fract_y
_atom_site_fract_z
Sb1 Sb 0.000 0.000 0.000
Ho1 Ho 0.500 0.500 0.500
Dy1 Dy 0.266 0.266 0.203
Dy2 Dy 0.734 0.734 0.797
```

=====

VASP calculation (PBE-GGA) on an optimized crystal structure of Dy2HoSb.

Values from the calculation:
symmetry: No. 63
magnetic moment: 0.00 μB/atom
D(E_F): 12.32 states/eV per cell
uncorrected formation energy: -547 meV per atom

CIF file:
```
data_Dy2HoSb
_space_group_name_H-M_alt 'P 1'
_space_group_IT_number 1
_cell_length_a 4.104
_cell_length_b 6.427
_cell_length_c 9.540
_cell_angle_alpha 90.00
_cell_angle_beta 90.00
_cell_angle_gamma 108.62
loop_
_space_group_symop_operation_xyz
'x,y,z'
loop_
_atom_site_label
_atom_site_type_symbol
_atom_site_fract_x
_atom_site_fract_y
_atom_site_fract_z
Dy1 Dy 0.364 0.728 0.546
Dy2 Dy 0.636 0.272 0.454
Dy3 Dy 0.364 0.728 0.954
Dy4 Dy 0.636 0.272 0.046
Ho1 Ho 0.940 0.880 0.250
Ho2 Ho 0.060 0.120 0.750
Sb1 Sb 0.759 0.517 0.750
Sb2 Sb 0.241 0.483 0.250
```

=====

VASP calculation (PBE-GGA) on an optimized crystal structure of DyHo2Sb3.

Values from the calculation:
symmetry: No. 71
magnetic moment: 0.00 μB/atom
D(E_F): 1.24 states/eV per cell
uncorrected formation energy: -1120 meV per atom

CIF file:
```
data_DyHo2Sb3
_space_group_name_H-M_alt 'P 1'
_space_group_IT_number 1
_cell_length_a 4.373
_cell_length_b 6.180
_cell_length_c 7.574
_cell_angle_alpha 114.08
_cell_angle_beta 106.78
_cell_angle_gamma 90.00
loop_
_space_group_symop_operation_xyz
'x,y,z'
loop_
_atom_site_label
_atom_site_type_symbol
_atom_site_fract_x
_atom_site_fract_y
_atom_site_fract_z
Dy1 Dy 0.500 0.500 0.500
Ho1 Ho 0.834 0.834 0.167
Ho2 Ho 0.166 0.166 0.833
Sb1 Sb 0.833 0.333 0.165
Sb2 Sb 0.167 0.667 0.835
Sb3 Sb 0.500 0.000 0.500
```